(1)
# PBE Pm2Nd5Ga4, relaxed
data_Pm2Nd5Ga4
_space_group_name_H-M_alt 'C 1 2/m 1'
_space_group_IT_number 12
_cell_length_a 26.551
_cell_length_b 3.664
_cell_length_c 6.920
_cell_angle_alpha 90.00
_cell_angle_beta 98.23
_cell_angle_gamma 90.00
loop_
_space_group_symop_operation_xyz
'x,y,z'
'-x,-y,-z'
'-x,y,-z'
'x,-y,z'
'x+1/2,y+1/2,z'
'-x+1/2,-y+1/2,-z'
'-x+1/2,y+1/2,-z'
'x+1/2,-y+1/2,z'
loop_
_atom_site_label
_atom_site_fract_x
_atom_site_fract_y
_atom_site_fract_z
Pm1 0.224 0.000 0.243
Nd1 0.000 0.000 0.000
Nd2 0.105 0.500 0.403
Nd3 0.126 0.500 0.911
Ga1 0.021 0.500 0.670
Ga2 0.185 0.000 0.661
# * magnetic moment: 0.000 μB/f.u.
# * crystal system: monoclinic
# * calculated total energy: -4.354 eV/atom
# * energy of formation: -0.222 eV per atom
# * ρ: 6.43 Mg/m³

---

(2)
# PBE PmNd2Ga3, relaxed
data_PmNd2Ga3
_space_group_name_H-M_alt 'P 4/m m m'
_space_group_IT_number 123
_space_group_name_Hall '-P 4 2'
_cell_length_a 3.685
_cell_length_b 3.685
_cell_length_c 11.074
_cell_angle_alpha 90.00
_cell_angle_beta 90.00
_cell_angle_gamma 90.00
loop_
_atom_site_label
_atom_site_fract_x
_atom_site_fract_y
_atom_site_fract_z
Pm1 0.000 0.000 0.000
Nd1 0.000 0.000 0.332
Ga1 0.500 0.500 0.164
Ga2 0.500 0.500 0.500
# * magnetic moment: 0.000 μB/f.u.
# * crystal system: tetragonal
# * calculated total energy: -4.455 eV/atom
# * energy of formation: -0.561 eV per atom
# * ρ: 7.10 Mg/m³

---

(3)
# PBE Pm4NdGa3, relaxed
data_Pm4NdGa3
_space_group_name_H-M_alt 'I 4/m c m'
_space_group_IT_number 140
_space_group_name_Hall '-I 4 2c'
_cell_length_a 12.007
_cell_length_b 12.007
_cell_length_c 6.074
_cell_angle_alpha 90.00
_cell_angle_beta 90.00
_cell_angle_gamma 90.00
loop_
_atom_site_label
_atom_site_fract_x
_atom_site_fract_y
_atom_site_fract_z
Pm1 0.087 0.214 0.000
Nd1 0.000 0.500 0.250
Ga1 0.000 0.000 0.250
Ga2 0.160 0.340 0.500
# * magnetic moment: 0.000 μB/f.u.
# * crystal system: tetragonal
# * calculated total energy: -4.554 eV/atom
# * energy of formation: -0.448 eV per atom
# * ρ: 7.08 Mg/m³

---

(4)
# PBE Pm5Nd4Ga, relaxed
data_Pm5Nd4Ga
_space_group_name_H-M_alt 'P 4/m m m'
_space_group_IT_number 123
_space_group_name_Hall '-P 4 2'
_cell_length_a 3.670
_cell_length_b 3.670
_cell_length_c 24.481
_cell_angle_alpha 90.00
_cell_angle_beta 90.00
_cell_angle_gamma 90.00
loop_
_atom_site_label
_atom_site_fract_x
_atom_site_fract_y
_atom_site_fract_z
Pm1 0.000 0.000 0.000
Pm2 0.000 0.000 0.213
Pm3 0.000 0.000 0.426
Nd1 0.500 0.500 0.106
Nd2 0.500 0.500 0.318
Ga1 0.500 0.500 0.500
# * magnetic moment: 0.003 μB/f.u.
# * crystal system: tetragonal
# * calculated total energy: -4.680 eV/atom
# * energy of formation: -0.095 eV per atom
# * ρ: 6.91 Mg/m³

---

(5)
# PBE PmNd4Ga5, relaxed
data_PmNd4Ga5
_space_group_name_H-M_alt 'P 4/m m m'
_space_group_IT_number 123
_space_group_name_Hall '-P 4 2'
_cell_length_a 3.690
_cell_length_b 3.690
_cell_length_c 18.446
_cell_angle_alpha 90.00
_cell_angle_beta 90.00
_cell_angle_gamma 90.00
loop_
_atom_site_label
_atom_site_fract_x
_atom_site_fract_y
_atom_site_fract_z
Pm1 0.000 0.000 0.000
Nd1 0.000 0.000 0.199
Nd2 0.000 0.000 0.400
Ga1 0.500 0.500 0.098
Ga2 0.500 0.500 0.299
Ga3 0.500 0.500 0.500
# * magnetic moment: 0.000 μB/f.u.
# * crystal system: tetragonal
# * calculated total energy: -4.455 eV/atom
# * energy of formation: -0.559 eV per atom
# * ρ: 7.08 Mg/m³

---

(6)
# PBE PmNd8Ga2, relaxed
data_PmNd8Ga2
_space_group_name_H-M_alt 'C 1 2/m 1'
_space_group_IT_number 12
_cell_length_a 8.905
_cell_length_b 14.596
_cell_length_c 5.884
_cell_angle_alpha 90.00
_cell_angle_beta 110.96
_cell_angle_gamma 90.00
loop_
_space_group_symop_operation_xyz
'x,y,z'
'-x,-y,-z'
'-x,y,-z'
'x,-y,z'
'x+1/2,y+1/2,z'
'-x+1/2,-y+1/2,-z'
'-x+1/2,y+1/2,-z'
'x+1/2,-y+1/2,z'
loop_
_atom_site_label
_atom_site_fract_x
_atom_site_fract_y
_atom_site_fract_z
Pm1 0.000 0.000 0.000
Nd1 0.000 0.237 0.000
Nd2 0.094 0.500 0.798
Nd3 0.201 0.120 0.592
Ga1 0.000 0.307 0.500
# * magnetic moment: 0.000 μB/f.u.
# * crystal system: monoclinic
# * calculated total energy: -4.547 eV/atom
# * energy of formation: -0.098 eV per atom
# * ρ: 6.69 Mg/m³

---

(7)
# PBE Pm2Nd3Ga6, relaxed
data_Pm2Nd3Ga6
_space_group_name_H-M_alt 'I 4/m m m'
_space_group_IT_number 139
_space_group_name_Hall '-I 4 2'
_cell_length_a 5.355
_cell_length_b 5.355
_cell_length_c 23.861
_cell_angle_alpha 90.00
_cell_angle_beta 90.00
_cell_angle_gamma 90.00
loop_
_atom_site_label
_atom_site_fract_x
_atom_site_fract_y
_atom_site_fract_z
Pm1 0.000 0.000 0.100
Nd1 0.000 0.000 0.357
Nd2 0.000 0.000 0.500
Ga1 0.000 0.000 0.229
Ga2 0.000 0.500 0.056
# * magnetic moment: 0.000 μB/f.u.
# * crystal system: tetragonal
# * calculated total energy: -3.870 eV/atom
# * energy of formation: -0.055 eV per atom
# * ρ: 5.54 Mg/m³

---

(8)
# PBE PmNd2Ga, relaxed
data_PmNd2Ga
_space_group_name_H-M_alt 'C m c m'
_space_group_IT_number 63
_space_group_name_Hall '-C 2c 2'
_cell_length_a 4.266
_cell_length_b 12.151
_cell_length_c 9.469
_cell_angle_alpha 90.00
_cell_angle_beta 90.00
_cell_angle_gamma 90.00
loop_
_atom_site_label
_atom_site_fract_x
_atom_site_fract_y
_atom_site_fract_z
Pm1 0.000 0.061 0.250
Nd1 0.000 0.358 0.054
Ga1 0.000 0.255 0.750
# * magnetic moment: 0.000 μB/f.u.
# * crystal system: orthorhombic
# * calculated total energy: -4.568 eV/atom
# * energy of formation: -0.240 eV per atom
# * ρ: 6.81 Mg/m³

---

(9)
# PBE Pm5NdGa6, relaxed
data_Pm5NdGa6
_space_group_name_H-M_alt 'P 1 2/m 1'
_space_group_IT_number 10
_cell_length_a 5.191
_cell_length_b 7.346
_cell_length_c 8.213
_cell_angle_alpha 90.00
_cell_angle_beta 108.37
_cell_angle_gamma 90.00
loop_
_space_group_symop_operation_xyz
'x,y,z'
'-x,-y,-z'
'-x,y,-z'
'x,-y,z'
loop_
_atom_site_label
_atom_site_fract_x
_atom_site_fract_y
_atom_site_fract_z
Pm1 0.000 0.000 0.000
Pm2 0.333 0.500 0.666
Pm3 0.334 0.000 0.668
Nd1 0.000 0.500 0.000
Ga1 0.167 0.249 0.335
Ga2 0.500 0.249 0.000
# * magnetic moment: 0.000 μB/f.u.
# * crystal system: monoclinic
# * calculated total energy: -4.456 eV/atom
# * energy of formation: -0.566 eV per atom
# * ρ: 7.19 Mg/m³

---

(10)
# PBE PmNd3Ga, relaxed
data_PmNd3Ga
_space_group_name_H-M_alt 'C 1 2/m 1'
_space_group_IT_number 12
_cell_length_a 12.142
_cell_length_b 9.265
_cell_length_c 7.885
_cell_angle_alpha 90.00
_cell_angle_beta 130.48
_cell_angle_gamma 90.00
loop_
_space_group_symop_operation_xyz
'x,y,z'
'-x,-y,-z'
'-x,y,-z'
'x,-y,z'
'x+1/2,y+1/2,z'
'-x+1/2,-y+1/2,-z'
'-x+1/2,y+1/2,-z'
'x+1/2,-y+1/2,z'
loop_
_atom_site_label
_atom_site_fract_x
_atom_site_fract_y
_atom_site_fract_z
Pm1 0.060 0.000 0.348
Nd1 0.060 0.500 0.277
Nd2 0.247 0.190 0.212
Ga1 0.249 0.000 0.874
# * magnetic moment: 0.000 μB/f.u.
# * crystal system: monoclinic
# * calculated total energy: -4.484 eV/atom
# * energy of formation: -0.068 eV per atom
# * ρ: 6.37 Mg/m³

---

(11)
# PBE PmNd2Ga, relaxed
data_PmNd2Ga
_space_group_name_H-M_alt 'P 4/m m m'
_space_group_IT_number 123
_space_group_name_Hall '-P 4 2'
_cell_length_a 3.622
_cell_length_b 3.622
_cell_length_c 9.189
_cell_angle_alpha 90.00
_cell_angle_beta 90.00
_cell_angle_gamma 90.00
loop_
_atom_site_label
_atom_site_fract_x
_atom_site_fract_y
_atom_site_fract_z
Pm1 0.000 0.000 0.000
Nd1 0.500 0.500 0.291
Ga1 0.000 0.000 0.500
# * magnetic moment: 0.000 μB/f.u.
# * crystal system: tetragonal
# * calculated total energy: -4.574 eV/atom
# * energy of formation: -0.246 eV per atom
# * ρ: 6.93 Mg/m³

---

(12)
# PBE Pm4Nd5Ga, relaxed
data_Pm4Nd5Ga
_space_group_name_H-M_alt 'P 4/m m m'
_space_group_IT_number 123
_space_group_name_Hall '-P 4 2'
_cell_length_a 3.679
_cell_length_b 3.679
_cell_length_c 24.467
_cell_angle_alpha 90.00
_cell_angle_beta 90.00
_cell_angle_gamma 90.00
loop_
_atom_site_label
_atom_site_fract_x
_atom_site_fract_y
_atom_site_fract_z
Pm1 0.000 0.000 0.106
Pm2 0.000 0.000 0.317
Nd1 0.500 0.500 0.000
Nd2 0.500 0.500 0.212
Nd3 0.500 0.500 0.425
Ga1 0.000 0.000 0.500
# * magnetic moment: 0.000 μB/f.u.
# * crystal system: tetragonal
# * calculated total energy: -4.678 eV/atom
# * energy of formation: -0.091 eV per atom
# * ρ: 6.87 Mg/m³